Record 1
Material: AgRuRh2
Method: DFT, PBE-GGA
State: optimized geometry

It has space group F-43m (No. 216), with a = 6.230 Å, b = 6.230 Å, c = 6.230 Å, α = 90.00°, β = 90.00° and γ = 90.00°. The inequivalent atoms are Ag at (0.000, 0.000, 0.000), Ru at (0.250, 0.250, 0.250), Rh at (0.000, 0.000, 0.500) and Rh at (0.250, 0.250, 0.750).

The volume is 60.5 Å³/f.u. The value obtained for the total energy is -6.17 eV per atom. The value obtained for the energy above the lowest structure with this stoichiometry is 413.9 meV/atom. The formation energy from the elements comes out at 0.540 eV/atom. For the total magnetization, the calculation gives 0.0 Bohr magnetons per cell.



Record 2
Material: RbLiSc2Co
Method: DFT, PBE-GGA
State: optimized geometry

It has space group P4/mmm (No. 123), with a = 5.192 Å, b = 5.192 Å, c = 4.519 Å, α = 90.00°, β = 90.00° and γ = 90.00°. The inequivalent atoms are Rb at (0.000, 0.000, 0.000), Li at (0.500, 0.500, 0.500), Sc at (0.000, 0.500, 0.000) and Co at (0.000, 0.000, 0.500).

The volume is 121.8 Å³/f.u. The value obtained for the total energy is -2.85 eV per atom. The formation energy from the elements comes out at 1.677 eV/atom. For the total magnetization, the calculation gives 1.0 Bohr magnetons per cell.



Record 3
Material: LaMnZn2
Method: DFT, PBE-GGA
State: optimized geometry

It has space group R-3m (No. 166, hexagonal axes), with a = 3.2732 Å, b = 3.2732 Å, c = 27.0196 Å, α = 90.00°, β = 90.00° and γ = 120.00°. The inequivalent atoms are La at (0.0000, 0.0000, 0.0000), Mn at (0.0000, 0.0000, 0.5000) and Zn at (0.0000, 0.0000, 0.2349).

The volume is 83.6 Å³/f.u. The value obtained for the total energy is -3.93 eV per atom. The formation energy from the elements comes out at 0.229 eV/atom. For the total magnetization, the calculation gives 10.6 Bohr magnetons per cell.



Record 4
Material: MgAlPt2
Method: DFT, PBE-GGA
State: optimized geometry

It has space group Pmm2 (No. 25), with a = 2.869 Å, b = 4.057 Å, c = 5.395 Å, α = 90.00°, β = 90.00° and γ = 90.00°. The inequivalent atoms are Mg at (0.000, 0.000, 0.000), Al at (0.500, 0.500, 0.678), Pt at (0.000, 0.000, 0.512) and Pt at (0.500, 0.500, 0.172).

The volume is 62.8 Å³/f.u. The value obtained for the total energy is -5.16 eV per atom. The formation energy from the elements comes out at -0.802 eV/atom. For the total magnetization, the calculation gives 0.0 Bohr magnetons per cell.



Record 5
Material: Nd15DySc4
Method: DFT, PBE-GGA
State: optimized geometry

It has space group P4/mmm (No. 123), with a = 5.077 Å, b = 5.077 Å, c = 25.305 Å, α = 90.00°, β = 90.00° and γ = 90.00°. The inequivalent atoms are Nd at (0.000, 0.000, 0.000), Nd at (0.000, 0.000, 0.202), Nd at (0.000, 0.000, 0.401), Nd at (0.000, 0.500, 0.103), Nd at (0.000, 0.500, 0.301), Nd at (0.000, 0.500, 0.500), Dy at (0.500, 0.500, 0.000), Sc at (0.500, 0.500, 0.202) and Sc at (0.500, 0.500, 0.401).

The volume is 652.3 Å³/f.u. The value obtained for the total energy is -5.04 eV per atom. The formation energy from the elements comes out at 0.029 eV/atom. For the total magnetization, the calculation gives 0.0 Bohr magnetons per cell.



Record 6
Material: LaReTe4
Method: DFT, PBE-GGA
State: optimized geometry

It has space group F-43m (No. 216), with a = 8.889 Å, b = 8.889 Å, c = 8.889 Å, α = 90.00°, β = 90.00° and γ = 90.00°. The inequivalent atoms are La at (0.000, 0.000, 0.000), Re at (0.250, 0.250, 0.750) and Te at (0.125, 0.125, 0.375).

The calculation puts the uncorrected formation energy at 0.727 eV per atom. The volume is 175.6 Å³/f.u. The value obtained for the total energy is -4.26 eV per atom. For the total magnetization, the calculation gives 15.8 Bohr magnetons per cell.



Record 7
Material: Pr5Nd8Dy
Method: DFT, PBE-GGA
State: optimized geometry

It has space group I-4 (No. 82), with a = 9.879 Å, b = 9.879 Å, c = 10.333 Å, α = 90.00°, β = 90.00° and γ = 90.00°. The inequivalent atoms are Pr at (0.000, 0.000, 0.000), Pr at (0.107, 0.210, 0.577), Nd at (0.070, 0.328, 0.905), Nd at (0.083, 0.184, 0.246) and Dy at (0.000, 0.500, 0.250).

The volume is 504.3 Å³/f.u. The value obtained for the total energy is -4.53 eV per atom. The formation energy from the elements comes out at 0.231 eV/atom. For the total magnetization, the calculation gives 0.0 Bohr magnetons per cell.



Record 8
Material: Pm2Dy2YTm
Method: DFT, PBE-GGA
State: optimized geometry

It has space group Pmma (No. 51), with a = 7.011 Å, b = 5.636 Å, c = 9.777 Å, α = 90.00°, β = 90.00° and γ = 90.00°. The inequivalent atoms are Pm at (0.000, 0.000, 0.000), Pm at (0.250, 0.500, 0.175), Dy at (0.250, 0.000, 0.331), Dy at (0.250, 0.500, 0.837), Y at (0.000, 0.500, 0.500) and Tm at (0.250, 0.000, 0.661).

The volume is 193.2 Å³/f.u. The value obtained for the total energy is -4.88 eV per atom. The formation energy from the elements comes out at 0.064 eV/atom. For the total magnetization, the calculation gives 0.0 Bohr magnetons per cell.



Record 9
Material: Ag2SbHRu
Method: DFT, PBE-GGA
State: optimized geometry

It has space group P4/mmm (No. 123), with a = 5.288 Å, b = 5.288 Å, c = 5.118 Å, α = 90.00°, β = 90.00° and γ = 90.00°. The inequivalent atoms are Ag at (0.000, 0.500, 0.000), Sb at (0.000, 0.000, 0.000), H at (0.500, 0.500, 0.500) and Ru at (0.000, 0.000, 0.500).

The volume is 143.1 Å³/f.u. The value obtained for the total energy is -3.12 eV per atom. For the total magnetization, the calculation gives 3.7 Bohr magnetons per cell.



Record 10
Material: InSb2Ru
Method: DFT, PBE-GGA
State: optimized geometry

It has space group Cmmm (No. 65), with a = 5.993 Å, b = 8.165 Å, c = 3.582 Å, α = 90.00°, β = 90.00° and γ = 90.00°. The inequivalent atoms are In at (0.000, 0.000, 0.000), Sb at (0.250, 0.250, 0.500) and Ru at (0.000, 0.500, 0.000).

The calculation puts the uncorrected formation energy at 0.395 eV per atom. The volume is 87.6 Å³/f.u. The value obtained for the total energy is -4.67 eV per atom. For the total magnetization, the calculation gives 0.0 Bohr magnetons per cell.



Record 11
Material: SiSb2Os
Method: DFT, PBE-GGA
State: optimized geometry

It has space group P4/mmm (No. 123), with a = 4.935 Å, b = 4.935 Å, c = 3.153 Å, α = 90.00°, β = 90.00° and γ = 90.00°. The inequivalent atoms are Si at (0.000, 0.000, 0.000), Sb at (0.000, 0.500, 0.500) and Os at (0.500, 0.500, 0.000).

The calculation puts the uncorrected formation energy at 0.754 eV per atom. The volume is 76.8 Å³/f.u. The value obtained for the total energy is -5.47 eV per atom. For the total magnetization, the calculation gives 0.0 Bohr magnetons per cell.



Record 12
Material: SiBIrPb2
Method: DFT, PBE-GGA
State: optimized geometry

It has space group P4/mmm (No. 123), with a = 5.405 Å, b = 5.405 Å, c = 4.451 Å, α = 90.00°, β = 90.00° and γ = 90.00°. The inequivalent atoms are Si at (0.000, 0.000, 0.000), B at (0.500, 0.500, 0.500), Ir at (0.000, 0.000, 0.500) and Pb at (0.000, 0.500, 0.000).

The calculation puts the uncorrected formation energy at 1.413 eV per atom. The volume is 130.0 Å³/f.u. The value obtained for the total energy is -4.26 eV per atom. For the total magnetization, the calculation gives 0.0 Bohr magnetons per cell.



Record 13
Material: MnAlAu3
Method: DFT, PBE-GGA
State: optimized geometry

It has space group Pm-3m (No. 221), with a = 4.796 Å, b = 4.796 Å, c = 4.796 Å, α = 90.00°, β = 90.00° and γ = 90.00°. The inequivalent atoms are Mn at (0.000, 0.000, 0.000), Al at (0.500, 0.500, 0.500) and Au at (0.000, 0.500, 0.500).

The volume is 110.3 Å³/f.u. The value obtained for the total energy is -4.12 eV per atom. The value obtained for the energy above the lowest structure with this stoichiometry is 647.2 meV/atom. The formation energy from the elements comes out at 0.425 eV/atom. For the total magnetization, the calculation gives 4.7 Bohr magnetons per cell.



Record 14
Material: Nd5Er6Tm2
Method: DFT, PBE-GGA
State: optimized geometry

It has space group Pbam (No. 55), with a = 11.591 Å, b = 20.484 Å, c = 3.583 Å, α = 90.00°, β = 90.00° and γ = 90.00°. The inequivalent atoms are Nd at (0.000, 0.000, 0.000), Nd at (0.084, 0.272, 0.000), Nd at (0.198, 0.551, 0.000), Er at (0.062, 0.418, 0.500), Er at (0.081, 0.131, 0.500), Er at (0.174, 0.861, 0.000) and Tm at (0.171, 0.710, 0.500).

The volume is 425.4 Å³/f.u. The value obtained for the total energy is -4.53 eV per atom. The formation energy from the elements comes out at 0.096 eV/atom. For the total magnetization, the calculation gives 0.0 Bohr magnetons per cell.



Record 15
Material: AcGa3Hg3
Method: DFT, PBE-GGA
State: optimized geometry

It has space group R-3 (No. 148, hexagonal axes), with a = 8.6630 Å, b = 8.6630 Å, c = 18.1149 Å, α = 90.00°, β = 90.00° and γ = 120.00°. The inequivalent atoms are Ac at (0.0000, 0.0000, 0.1671), Ga at (0.0007, 0.3290, 0.4124) and Hg at (0.0011, 0.3124, 0.5894).

The volume is 196.2 Å³/f.u. The value obtained for the total energy is -2.12 eV per atom. The formation energy from the elements comes out at -0.107 eV/atom. For the total magnetization, the calculation gives 0.0 Bohr magnetons per cell.



Record 16
Material: BaScZn3GaO7
Method: DFT, PBE-GGA
State: optimized geometry

It has space group P6_3mc (No. 186), with a = 6.2844 Å, b = 6.2844 Å, c = 10.2198 Å, α = 90.00°, β = 90.00° and γ = 120.00°. The inequivalent atoms are Ba at (0.3333, 0.6667, 0.0000), Sc at (0.3333, 0.6667, 0.6445), Zn at (0.1728, 0.3456, 0.3243), Ga at (0.0000, 0.0000, 0.0749), O at (0.0000, 0.0000, 0.2585), O at (0.0198, 0.5099, 0.7618) and O at (0.1645, 0.3290, 0.5197).

The calculation puts the uncorrected formation energy at -2.145 eV per atom. The volume is 174.8 Å³/f.u. The value obtained for the total energy is -5.98 eV per atom. For the total magnetization, the calculation gives 0.0 Bohr magnetons per cell.



Record 17
Material: NpMn2Ni
Method: DFT, PBE-GGA
State: optimized geometry

It has space group P4/mmm (No. 123), with a = 2.910 Å, b = 2.910 Å, c = 7.058 Å, α = 90.00°, β = 90.00° and γ = 90.00°. The inequivalent atoms are Np at (0.000, 0.000, 0.000), Mn at (0.500, 0.500, 0.294) and Ni at (0.000, 0.000, 0.500).

The volume is 59.8 Å³/f.u. The value obtained for the total energy is -9.12 eV per atom. The formation energy from the elements comes out at 0.149 eV/atom. For the total magnetization, the calculation gives 3.6 Bohr magnetons per cell.



Record 18
Material: LaCrAg3
Method: DFT, PBE-GGA
State: optimized geometry

It has space group Pm-3m (No. 221), with a = 5.022 Å, b = 5.022 Å, c = 5.022 Å, α = 90.00°, β = 90.00° and γ = 90.00°. The inequivalent atoms are La at (0.000, 0.000, 0.000), Cr at (0.500, 0.500, 0.500) and Ag at (0.000, 0.500, 0.500).

The volume is 126.6 Å³/f.u. The value obtained for the total energy is -4.20 eV per atom. The value obtained for the energy above the lowest structure with this stoichiometry is 0.0 meV/atom. The formation energy from the elements comes out at 0.418 eV/atom. For the total magnetization, the calculation gives 3.8 Bohr magnetons per cell.



Record 19
Material: SrCdInBi2
Method: DFT, PBE-GGA
State: optimized geometry

It has space group C2/m (No. 12), with a = 17.555 Å, b = 4.854 Å, c = 11.962 Å, α = 90.00°, β = 130.13° and γ = 90.00°. The inequivalent atoms are Sr at (0.216, 0.000, 0.308), Cd at (0.048, 0.000, 0.434), In at (0.137, 0.500, 0.875), Bi at (0.087, 0.500, 0.325) and Bi at (0.198, 0.000, 0.790).

The volume is 194.8 Å³/f.u. The value obtained for the total energy is -2.88 eV per atom. The formation energy from the elements comes out at -0.260 eV/atom. For the total magnetization, the calculation gives 0.0 Bohr magnetons per cell.



Record 20
Material: Co4SiPt
Method: DFT, PBE-GGA
State: optimized geometry

It has space group F-43m (No. 216), with a = 6.634 Å, b = 6.634 Å, c = 6.634 Å, α = 90.00°, β = 90.00° and γ = 90.00°. The inequivalent atoms are Co at (0.125, 0.125, 0.125), Si at (0.000, 0.000, 0.500) and Pt at (0.250, 0.250, 0.750).

The calculation puts the uncorrected formation energy at 0.118 eV per atom. The volume is 73.0 Å³/f.u. The value obtained for the total energy is -6.53 eV per atom. For the total magnetization, the calculation gives 24.7 Bohr magnetons per cell.



Record 21
Material: NiAuBr2
Method: DFT, PBE-GGA
State: optimized geometry

It has space group I-42d (No. 122), with a = 6.090 Å, b = 6.090 Å, c = 11.145 Å, α = 90.00°, β = 90.00° and γ = 90.00°. The inequivalent atoms are Ni at (0.000, 0.000, 0.000), Au at (0.000, 0.000, 0.500) and Br at (0.201, 0.250, 0.125).

The calculation puts the uncorrected formation energy at 0.133 eV per atom. The volume is 103.3 Å³/f.u. The value obtained for the total energy is -2.97 eV per atom. The value obtained for the energy above the lowest structure with this stoichiometry is 141.6 meV/atom. For the total magnetization, the calculation gives 4.0 Bohr magnetons per cell.



Record 22
Material: CuPd2I8
Method: DFT, PBE-GGA
State: optimized geometry

It has space group C2/m (No. 12), with a = 12.631 Å, b = 8.981 Å, c = 11.032 Å, α = 90.00°, β = 124.44° and γ = 90.00°. The inequivalent atoms are Cu at (0.000, 0.000, 0.000), Pd at (0.102, 0.000, 0.415), I at (0.052, 0.202, 0.188), I at (0.142, 0.000, 0.676) and I at (0.149, 0.500, 0.462).

The calculation puts the uncorrected formation energy at -0.068 eV per atom. The volume is 516.0 Å³/f.u. The value obtained for the total energy is -2.51 eV per atom. For the total magnetization, the calculation gives 0.0 Bohr magnetons per cell.



Record 23
Material: LaSmErTh
Method: DFT, PBE-GGA
State: optimized geometry

It has space group P4mm (No. 99), with a = 3.616 Å, b = 3.616 Å, c = 10.220 Å, α = 90.00°, β = 90.00° and γ = 90.00°. The inequivalent atoms are La at (0.000, 0.000, 0.000), Sm at (0.500, 0.500, 0.731), Er at (0.500, 0.500, 0.259) and Th at (0.000, 0.000, 0.491).

The volume is 133.6 Å³/f.u. The value obtained for the total energy is -5.38 eV per atom. The value obtained for the energy above the lowest structure with this stoichiometry is 0.0 meV/atom. The formation energy from the elements comes out at 0.023 eV/atom. For the total magnetization, the calculation gives 0.0 Bohr magnetons per cell.



Record 24
Material: YAlCd
Method: DFT, PBE-GGA
State: optimized geometry

It has space group F-43m (No. 216), with a = 6.985 Å, b = 6.985 Å, c = 6.985 Å, α = 90.00°, β = 90.00° and γ = 90.00°. The inequivalent atoms are Y at (0.000, 0.000, 0.000), Al at (0.250, 0.250, 0.250) and Cd at (0.250, 0.250, 0.750).

The volume is 85.2 Å³/f.u. The value obtained for the total energy is -3.49 eV per atom. The formation energy from the elements comes out at 0.220 eV/atom. For the total magnetization, the calculation gives 0.0 Bohr magnetons per cell.